# ReSiS2Cl

ReSiS2Cl after structural relaxation (PBE, Alexandria via LeMat-Bulk).

Unit cell a=4.642 b=4.642 c=4.522 alpha=90.00 beta=90.00 gamma=90.00
Fractional coordinates of all 5 atoms:
Re 0.000 0.000 0.000
Si 0.500 0.500 0.500
S 0.000 0.500 0.500
S 0.500 0.000 0.500
Cl 0.500 0.500 0.000

The energy above the most stable polymorph in this dataset comes out at 412.8 meV/atom. For the density of states at the Fermi level, the calculation gives 1.83 states/eV/f.u. The uncorrected formation energy comes out at 0.98 eV/atom. As for the total energy: -4.6182 eV/atom. As for the symmetry: P4/mmm.

***

# Ce3GaBi

Ce3GaBi after structural relaxation (PBE, Alexandria via LeMat-Bulk).

Unit cell a=5.429 b=6.582 c=8.356 alpha=103.69 beta=96.14 gamma=107.53
Fractional coordinates of all 10 atoms:
Ce 0.112 0.412 0.176
Ce 0.184 0.015 0.210
Ce 0.377 0.385 0.658
Ce 0.623 0.615 0.342
Ce 0.816 0.985 0.790
Ce 0.888 0.588 0.824
Ga 0.496 0.262 0.982
Ga 0.504 0.738 0.018
Bi 0.224 0.807 0.556
Bi 0.776 0.193 0.444

For the density of states at the Fermi level, the calculation gives 12.60 states/eV/f.u. As for the total energy: -5.3746 eV/atom. As for the symmetry: P-1.

***

# RbTmMgO3

RbTmMgO3 after structural relaxation (PBE, Alexandria via LeMat-Bulk).

Unit cell a=6.932 b=3.487 c=9.452 alpha=90.00 beta=92.49 gamma=90.00
Fractional coordinates of all 12 atoms:
Rb 0.081 0.250 0.274
Rb 0.919 0.750 0.726
Tm 0.431 0.750 0.640
Tm 0.569 0.250 0.360
Mg 0.425 0.250 0.902
Mg 0.575 0.750 0.098
O 0.259 0.250 0.727
O 0.372 0.750 0.412
O 0.440 0.250 0.116
O 0.560 0.750 0.884
O 0.628 0.250 0.588
O 0.741 0.750 0.273

For the density of states at the Fermi level, the calculation gives 0.00 states/eV/f.u. The uncorrected formation energy comes out at -2.62 eV/atom. As for the total energy: -6.2692 eV/atom. As for the symmetry: P2_1/m.

***

# Pm2PrCd

Pm2PrCd after structural relaxation (PBE, Alexandria via LeMat-Bulk).

Unit cell a=11.306 b=11.306 c=11.306 alpha=18.78 beta=18.78 gamma=18.78
Fractional coordinates of all 4 atoms:
Pm 0.000 0.000 0.000
Pm 0.181 0.181 0.181
Pr 0.758 0.758 0.758
Cd 0.591 0.591 0.591

The energy above the most stable polymorph in this dataset comes out at 97.6 meV/atom. For the density of states at the Fermi level, the calculation gives 4.01 states/eV/f.u. As for the total energy: -3.8540 eV/atom. As for the symmetry: R3m.

***

# Ba2InSn4Au3

Ba2InSn4Au3 after structural relaxation (PBE, Alexandria via LeMat-Bulk).

Unit cell a=4.871 b=4.871 c=11.730 alpha=90.00 beta=90.00 gamma=90.00
Fractional coordinates of all 10 atoms:
Ba 0.000 0.500 0.250
Ba 0.500 0.000 0.750
In 0.000 0.000 0.500
Sn 0.000 0.000 0.000
Sn 0.000 0.500 0.638
Sn 0.500 0.000 0.362
Sn 0.500 0.500 0.000
Au 0.000 0.500 0.872
Au 0.500 0.000 0.128
Au 0.500 0.500 0.500

For the density of states at the Fermi level, the calculation gives 3.93 states/eV/f.u. As for the total energy: -3.8032 eV/atom. As for the symmetry: P-4m2.

***

# Ba2Sn3Hg6

Ba2Sn3Hg6 after structural relaxation (PBE, Alexandria via LeMat-Bulk).

Unit cell a=8.934 b=8.934 c=4.456 alpha=90.00 beta=90.00 gamma=98.49
Fractional coordinates of all 11 atoms:
Ba 0.195 0.805 0.000
Ba 0.805 0.195 0.000
Sn 0.301 0.301 0.000
Sn 0.500 0.500 0.500
Sn 0.699 0.699 0.000
Hg 0.124 0.124 0.500
Hg 0.159 0.492 0.500
Hg 0.492 0.159 0.500
Hg 0.508 0.841 0.500
Hg 0.841 0.508 0.500
Hg 0.876 0.876 0.500

The energy above the most stable polymorph in this dataset comes out at 63.1 meV/atom. For the density of states at the Fermi level, the calculation gives 5.42 states/eV/f.u. As for the total energy: -1.8546 eV/atom. As for the symmetry: Cmmm.

***

# Zn4Cu2Pt

Zn4Cu2Pt after structural relaxation (PBE, Alexandria via LeMat-Bulk).

Unit cell a=5.178 b=5.178 c=5.178 alpha=112.70 beta=112.70 gamma=103.20
Fractional coordinates of all 7 atoms:
Zn 0.000 0.000 0.500
Zn 0.000 0.500 0.000
Zn 0.500 0.000 0.000
Zn 0.500 0.500 0.500
Cu 0.000 0.500 0.500
Cu 0.500 0.000 0.500
Pt 0.000 0.000 0.000

For the density of states at the Fermi level, the calculation gives 2.19 states/eV/f.u. As for the total energy: -2.9552 eV/atom. As for the symmetry: I4/mmm.

***

# Th3Ni8Ru

Th3Ni8Ru after structural relaxation (PBE, Alexandria via LeMat-Bulk).

Unit cell a=8.905 b=8.905 c=8.905 alpha=32.93 beta=32.93 gamma=32.93
Fractional coordinates of all 12 atoms:
Th 0.000 0.000 0.000
Th 0.131 0.131 0.131
Th 0.529 0.529 0.529
Ni 0.071 0.573 0.573
Ni 0.076 0.076 0.567
Ni 0.076 0.567 0.076
Ni 0.323 0.323 0.323
Ni 0.567 0.076 0.076
Ni 0.573 0.071 0.573
Ni 0.573 0.573 0.071
Ni 0.823 0.823 0.823
Ru 0.643 0.643 0.643

For the density of states at the Fermi level, the calculation gives 15.40 states/eV/f.u. As for the total energy: -6.8096 eV/atom. As for the symmetry: R3m.

***

| no. | spin magnetization (μB/atom) |
| --- | --- |
| 1 | 0.959 |
| 2 | 0.411 |
| 3 | 0.000 |
| 4 | 0.000 |
| 5 | 0.000 |
| 6 | 0.000 |
| 7 | 0.000 |
| 8 | 0.000 |